No. 1
Computed, not measured: a relaxed structure of ZrOs2PtW at the PBE level of DFT.

Values from the calculation:
- ΔE_f: 2411 meV/atom
- Fermi-level density of states: 1.85 states/eV/atom
- Energy: -7.589 eV/atom

```
data_ZrOs2PtW
_cell_length_a 4.712
_cell_length_b 4.712
_cell_length_c 4.783
_cell_angle_alpha 90.00
_cell_angle_beta 90.00
_cell_angle_gamma 90.00
_symmetry_space_group_name_H-M 'P 1'
_symmetry_Int_Tables_number 1
_symmetry_space_group_name_Hall 'P 1'
loop_
_atom_site_label
_atom_site_fract_x
_atom_site_fract_y
_atom_site_fract_z
Zr1 0.000 0.000 0.000
Os1 0.000 0.500 0.000
Os2 0.500 0.000 0.000
Pt1 0.000 0.000 0.500
W1 0.500 0.500 0.500
```

---

No. 2
Computed, not measured: a relaxed structure of YOsPt2 at the PBE level of DFT.

Values from the calculation:
- E above lowest polymorph: 0.084 eV per atom
- ΔE_f: -321 meV/atom
- Fermi-level density of states: 0.87 states/eV/atom
- Energy: -7.765 eV/atom

```
data_YOsPt2
_cell_length_a 4.972
_cell_length_b 4.972
_cell_length_c 2.933
_cell_angle_alpha 90.00
_cell_angle_beta 90.00
_cell_angle_gamma 108.92
_symmetry_space_group_name_H-M 'P 1'
_symmetry_Int_Tables_number 1
_symmetry_space_group_name_Hall 'P 1'
loop_
_atom_site_label
_atom_site_fract_x
_atom_site_fract_y
_atom_site_fract_z
Y1 0.000 0.000 0.000
Os1 0.500 0.500 0.000
Pt1 0.000 0.500 0.500
Pt2 0.500 0.000 0.500
```

---

No. 3
Computed, not measured: a relaxed structure of YOsPt2 at the PBE level of DFT.

Values from the calculation:
- E above lowest polymorph: 0.280 eV per atom
- ΔE_f: -126 meV/atom
- Fermi-level density of states: 1.35 states/eV/atom
- Energy: -7.569 eV/atom

```
data_YOsPt2
_cell_length_a 2.904
_cell_length_b 2.904
_cell_length_c 8.213
_cell_angle_alpha 90.00
_cell_angle_beta 90.00
_cell_angle_gamma 90.00
_symmetry_space_group_name_H-M 'P 1'
_symmetry_Int_Tables_number 1
_symmetry_space_group_name_Hall 'P 1'
loop_
_atom_site_label
_atom_site_fract_x
_atom_site_fract_y
_atom_site_fract_z
Y1 0.000 0.000 0.000
Os1 0.000 0.000 0.500
Pt1 0.500 0.500 0.274
Pt2 0.500 0.500 0.726
```

---

No. 4
Computed, not measured: a relaxed structure of YOs2Pt at the PBE level of DFT.

Values from the calculation:
- E above lowest polymorph: 0.234 eV per atom
- ΔE_f: 136 meV/atom
- Fermi-level density of states: 1.04 states/eV/atom
- Energy: -8.605 eV/atom

```
data_YOs2Pt
_cell_length_a 5.823
_cell_length_b 5.823
_cell_length_c 5.823
_cell_angle_alpha 151.28
_cell_angle_beta 132.51
_cell_angle_gamma 56.45
_symmetry_space_group_name_H-M 'P 1'
_symmetry_Int_Tables_number 1
_symmetry_space_group_name_Hall 'P 1'
loop_
_atom_site_label
_atom_site_fract_x
_atom_site_fract_y
_atom_site_fract_z
Y1 0.000 0.000 0.000
Os1 0.275 0.775 0.500
Os2 0.725 0.225 0.500
Pt1 0.500 0.500 0.000
```

---

No. 5
Computed, not measured: a relaxed structure of YOs2Pt at the PBE level of DFT.

Values from the calculation:
- E above lowest polymorph: 0.298 eV per atom
- ΔE_f: 200 meV/atom
- Fermi-level density of states: 0.78 states/eV/atom
- Energy: -8.541 eV/atom

```
data_YOs2Pt
_cell_length_a 4.975
_cell_length_b 4.975
_cell_length_c 2.903
_cell_angle_alpha 90.00
_cell_angle_beta 90.00
_cell_angle_gamma 110.12
_symmetry_space_group_name_H-M 'P 1'
_symmetry_Int_Tables_number 1
_symmetry_space_group_name_Hall 'P 1'
loop_
_atom_site_label
_atom_site_fract_x
_atom_site_fract_y
_atom_site_fract_z
Y1 0.000 0.000 0.000
Os1 0.000 0.500 0.500
Os2 0.500 0.000 0.500
Pt1 0.500 0.500 0.000
```

---

No. 6
Computed, not measured: a relaxed structure of YOsPt at the PBE level of DFT.

Values from the calculation:
- E above lowest polymorph: 1.026 eV per atom
- ΔE_f: 698 meV/atom
- Fermi-level density of states: 2.16 states/eV/atom
- Energy: -7.214 eV/atom

```
data_YOsPt
_cell_length_a 4.540
_cell_length_b 4.540
_cell_length_c 4.540
_cell_angle_alpha 60.00
_cell_angle_beta 60.00
_cell_angle_gamma 60.00
_symmetry_space_group_name_H-M 'P 1'
_symmetry_Int_Tables_number 1
_symmetry_space_group_name_Hall 'P 1'
loop_
_atom_site_label
_atom_site_fract_x
_atom_site_fract_y
_atom_site_fract_z
Y1 0.000 0.000 0.000
Os1 0.250 0.250 0.250
Pt1 0.750 0.750 0.750
```

---

No. 7
Computed, not measured: a relaxed structure of Y2Os2Pt at the PBE level of DFT.

Values from the calculation:
- E above lowest polymorph: 0.095 eV per atom
- ΔE_f: -243 meV/atom
- Fermi-level density of states: 1.04 states/eV/atom
- Energy: -8.529 eV/atom

```
data_Y2Os2Pt
_cell_length_a 8.854
_cell_length_b 8.854
_cell_length_c 8.854
_cell_angle_alpha 156.84
_cell_angle_beta 156.84
_cell_angle_gamma 32.99
_symmetry_space_group_name_H-M 'P 1'
_symmetry_Int_Tables_number 1
_symmetry_space_group_name_Hall 'P 1'
loop_
_atom_site_label
_atom_site_fract_x
_atom_site_fract_y
_atom_site_fract_z
Y1 0.102 0.102 0.000
Y2 0.898 0.898 0.000
Os1 0.250 0.750 0.500
Os2 0.750 0.250 0.500
Pt1 0.500 0.500 0.000
```

---

No. 8
Computed, not measured: a relaxed structure of YOs2Pt at the PBE level of DFT.

Values from the calculation:
- E above lowest polymorph: 0.237 eV per atom
- ΔE_f: 139 meV/atom
- Fermi-level density of states: 1.01 states/eV/atom
- Energy: -8.602 eV/atom

```
data_YOs2Pt
_cell_length_a 3.099
_cell_length_b 4.623
_cell_length_c 4.802
_cell_angle_alpha 90.00
_cell_angle_beta 90.00
_cell_angle_gamma 90.00
_symmetry_space_group_name_H-M 'P 1'
_symmetry_Int_Tables_number 1
_symmetry_space_group_name_Hall 'P 1'
loop_
_atom_site_label
_atom_site_fract_x
_atom_site_fract_y
_atom_site_fract_z
Y1 0.000 0.000 0.000
Os1 0.000 0.500 0.500
Os2 0.500 0.000 0.500
Pt1 0.500 0.500 0.000
```

---

No. 9
Computed, not measured: a relaxed structure of YOsPt2 at the PBE level of DFT.

Values from the calculation:
- E above lowest polymorph: 0.117 eV per atom
- ΔE_f: -288 meV/atom
- Fermi-level density of states: 1.11 states/eV/atom
- Energy: -7.732 eV/atom

```
data_YOsPt2
_cell_length_a 2.898
_cell_length_b 4.087
_cell_length_c 5.878
_cell_angle_alpha 90.00
_cell_angle_beta 90.00
_cell_angle_gamma 90.00
_symmetry_space_group_name_H-M 'P 1'
_symmetry_Int_Tables_number 1
_symmetry_space_group_name_Hall 'P 1'
loop_
_atom_site_label
_atom_site_fract_x
_atom_site_fract_y
_atom_site_fract_z
Y1 0.000 0.000 0.000
Os1 0.000 0.000 0.500
Pt1 0.500 0.500 0.275
Pt2 0.500 0.500 0.725
```

---

No. 10
Computed, not measured: a relaxed structure of YOsPt2 at the PBE level of DFT.

Values from the calculation:
- E above lowest polymorph: 0.525 eV per atom
- ΔE_f: 119 meV/atom
- Fermi-level density of states: 0.94 states/eV/atom
- Energy: -7.324 eV/atom

```
data_YOsPt2
_cell_length_a 9.678
_cell_length_b 9.678
_cell_length_c 9.678
_cell_angle_alpha 17.17
_cell_angle_beta 17.17
_cell_angle_gamma 17.17
_symmetry_space_group_name_H-M 'P 1'
_symmetry_Int_Tables_number 1
_symmetry_space_group_name_Hall 'P 1'
loop_
_atom_site_label
_atom_site_fract_x
_atom_site_fract_y
_atom_site_fract_z
Y1 0.000 0.000 0.000
Os1 0.500 0.500 0.500
Pt1 0.244 0.244 0.244
Pt2 0.756 0.756 0.756
```

---

No. 11
Computed, not measured: a relaxed structure of YOs2Pt at the PBE level of DFT.

Values from the calculation:
- E above lowest polymorph: 0.303 eV per atom
- ΔE_f: 206 meV/atom
- Fermi-level density of states: 0.83 states/eV/atom
- Energy: -8.536 eV/atom

```
data_YOs2Pt
_cell_length_a 2.806
_cell_length_b 4.122
_cell_length_c 6.107
_cell_angle_alpha 90.00
_cell_angle_beta 90.00
_cell_angle_gamma 90.00
_symmetry_space_group_name_H-M 'P 1'
_symmetry_Int_Tables_number 1
_symmetry_space_group_name_Hall 'P 1'
loop_
_atom_site_label
_atom_site_fract_x
_atom_site_fract_y
_atom_site_fract_z
Y1 0.000 0.000 0.000
Os1 0.500 0.500 0.297
Os2 0.500 0.500 0.703
Pt1 0.000 0.000 0.500
```

---

No. 12
Computed, not measured: a relaxed structure of YOsPt2 at the PBE level of DFT.

Values from the calculation:
- E above lowest polymorph: 0.368 eV per atom
- ΔE_f: -38 meV/atom
- Fermi-level density of states: 1.37 states/eV/atom
- Energy: -7.481 eV/atom

```
data_YOsPt2
_cell_length_a 4.661
_cell_length_b 4.661
_cell_length_c 4.661
_cell_angle_alpha 60.00
_cell_angle_beta 60.00
_cell_angle_gamma 60.00
_symmetry_space_group_name_H-M 'P 1'
_symmetry_Int_Tables_number 1
_symmetry_space_group_name_Hall 'P 1'
loop_
_atom_site_label
_atom_site_fract_x
_atom_site_fract_y
_atom_site_fract_z
Y1 0.000 0.000 0.000
Os1 0.250 0.250 0.250
Pt1 0.500 0.500 0.500
Pt2 0.750 0.750 0.750
```

---

No. 13
Computed, not measured: a relaxed structure of YOsPt at the PBE level of DFT.

Values from the calculation:
- E above lowest polymorph: 0.656 eV per atom
- ΔE_f: 328 meV/atom
- Fermi-level density of states: 1.19 states/eV/atom
- Energy: -7.584 eV/atom

```
data_YOsPt
_cell_length_a 3.111
_cell_length_b 3.111
_cell_length_c 6.729
_cell_angle_alpha 90.00
_cell_angle_beta 90.00
_cell_angle_gamma 120.00
_symmetry_space_group_name_H-M 'P 1'
_symmetry_Int_Tables_number 1
_symmetry_space_group_name_Hall 'P 1'
loop_
_atom_site_label
_atom_site_fract_x
_atom_site_fract_y
_atom_site_fract_z
Y1 0.000 0.000 0.000
Os1 0.667 0.333 0.331
Pt1 0.333 0.667 0.651
```

---

No. 14
Computed, not measured: a relaxed structure of YOs2Pt at the PBE level of DFT.

Values from the calculation:
- E above lowest polymorph: 0.333 eV per atom
- ΔE_f: 235 meV/atom
- Fermi-level density of states: 1.47 states/eV/atom
- Energy: -8.506 eV/atom

```
data_YOs2Pt
_cell_length_a 10.217
_cell_length_b 10.217
_cell_length_c 10.217
_cell_angle_alpha 157.04
_cell_angle_beta 157.04
_cell_angle_gamma 32.69
_symmetry_space_group_name_H-M 'P 1'
_symmetry_Int_Tables_number 1
_symmetry_space_group_name_Hall 'P 1'
loop_
_atom_site_label
_atom_site_fract_x
_atom_site_fract_y
_atom_site_fract_z
Y1 0.000 0.000 0.000
Y2 0.750 0.250 0.500
Os1 0.223 0.625 0.098
Os2 0.375 0.473 0.598
Os3 0.527 0.125 0.902
Os4 0.875 0.777 0.402
Pt1 0.250 0.750 0.500
Pt2 0.500 0.500 0.000
```

---

No. 15
Computed, not measured: a relaxed structure of YOs2Pt at the PBE level of DFT.

Values from the calculation:
- E above lowest polymorph: 0.102 eV per atom
- ΔE_f: 5 meV/atom
- Fermi-level density of states: 1.18 states/eV/atom
- Energy: -8.737 eV/atom

```
data_YOs2Pt
_cell_length_a 3.995
_cell_length_b 3.995
_cell_length_c 4.253
_cell_angle_alpha 90.00
_cell_angle_beta 90.00
_cell_angle_gamma 90.00
_symmetry_space_group_name_H-M 'P 1'
_symmetry_Int_Tables_number 1
_symmetry_space_group_name_Hall 'P 1'
loop_
_atom_site_label
_atom_site_fract_x
_atom_site_fract_y
_atom_site_fract_z
Y1 0.000 0.000 0.000
Os1 0.000 0.500 0.500
Os2 0.500 0.000 0.500
Pt1 0.500 0.500 0.000
```